Record 1
# LaPr2Er2

Crystalline LaPr2Er2 at its relaxed geometry (GGA-PBE, the Alexandria database).

a b c (Å): 5.899 7.171 16.511
angles (deg): 90.00 90.00 90.00
Space group Imma (No. 74)
Inequivalent atoms, fractional coordinates:
La 0.000 0.250 0.110 x4
Pr 0.000 0.004 0.690 x8
Er 0.000 0.250 0.500 x4
Er 0.000 0.250 0.885 x4

Calculated values
Density of states at the Fermi level ... 1.7039 states/eV/atom
Formation energy from the elements ... 0.136 eV per atom
VASP energy ... -91.73 eV/cell
Distance to the lowest polymorph of the same formula ... 40.6 meV/atom

=====

Record 2
# LaPr8Er2

Crystalline LaPr8Er2 at its relaxed geometry (GGA-PBE, the Alexandria database).

a b c (Å): 9.254 16.844 6.098
angles (deg): 90.00 124.21 90.00
Space group C2/m (No. 12)
Inequivalent atoms, fractional coordinates:
La 0.000 0.000 0.000 x2
Pr 0.000 0.206 0.000 x4
Pr 0.077 0.500 0.796 x4
Pr 0.219 0.121 0.685 x8
Er 0.000 0.311 0.500 x4

Calculated values
Density of states at the Fermi level ... 1.5157 states/eV/atom
Formation energy from the elements ... 0.128 eV per atom
VASP energy ... -101.77 eV/cell
Distance to the lowest polymorph of the same formula ... 24.3 meV/atom

=====

Record 3
# La2Pr2Er3

Crystalline La2Pr2Er3 at its relaxed geometry (GGA-PBE, the Alexandria database).

a b c (Å): 6.448 11.534 6.536
angles (deg): 90.00 95.81 90.00
Space group P2_1/c (No. 14)
Inequivalent atoms, fractional coordinates:
La 0.106 0.224 0.275 x4
Pr 0.454 0.654 0.536 x4
Er 0.000 0.000 0.000 x2
Er 0.256 0.536 0.045 x4

Calculated values
Density of states at the Fermi level ... 1.6766 states/eV/atom
Formation energy from the elements ... 0.172 eV per atom
VASP energy ... -63.80 eV/cell
Distance to the lowest polymorph of the same formula ... 142.3 meV/atom

=====

Record 4
# La3Pr12Er

Crystalline La3Pr12Er at its relaxed geometry (GGA-PBE, the Alexandria database).

a b c (Å): 5.245 5.245 20.955
angles (deg): 90.00 90.00 90.00
Space group P4/mmm (No. 123)
Inequivalent atoms, fractional coordinates:
La 0.000 0.000 0.000 x1
La 0.000 0.000 0.252 x2
Pr 0.000 0.500 0.126 x4
Pr 0.000 0.500 0.378 x4
Pr 0.500 0.500 0.000 x1
Pr 0.500 0.500 0.253 x2
Pr 0.500 0.500 0.500 x1
Er 0.000 0.000 0.500 x1

Calculated values
Density of states at the Fermi level ... 1.6816 states/eV/atom
Formation energy from the elements ... 0.011 eV per atom
VASP energy ... -76.52 eV/cell

=====

Record 5
# La2Pr7Er3

Crystalline La2Pr7Er3 at its relaxed geometry (GGA-PBE, the Alexandria database).

a b c (Å): 6.561 3.608 17.857
angles (deg): 90.00 95.62 90.00
Space group P2/m (No. 10)
Inequivalent atoms, fractional coordinates:
La 0.059 0.000 0.170 x2
Pr 0.000 0.500 0.500 x1
Pr 0.229 0.000 0.670 x2
Pr 0.258 0.000 0.995 x2
Pr 0.281 0.500 0.336 x2
Er 0.456 0.500 0.841 x2
Er 0.500 0.000 0.500 x1

Calculated values
Density of states at the Fermi level ... 1.5819 states/eV/atom
Formation energy from the elements ... 0.064 eV per atom
VASP energy ... -56.23 eV/cell
Distance to the lowest polymorph of the same formula ... 0.0 meV/atom

=====

Record 6
# LaPr6Er12

Crystalline LaPr6Er12 at its relaxed geometry (GGA-PBE, the Alexandria database).

a b c (Å): 13.2937 13.2937 12.6576
angles (deg): 90.00 90.00 120.00
Space group R-3m (No. 166, hexagonal axes)
Inequivalent atoms, fractional coordinates:
La 0.0000 0.0000 0.0000 x3
Pr 0.0354 0.5177 0.6183 x18
Er 0.0000 0.2559 0.5000 x18
Er 0.0919 0.1838 0.2644 x18

Calculated values
Density of states at the Fermi level ... 1.6000 states/eV/atom
Formation energy from the elements ... 0.209 eV per atom
VASP energy ... -253.15 eV/cell

=====

Record 7
# La2Pr7Er4

Crystalline La2Pr7Er4 at its relaxed geometry (GGA-PBE, the Alexandria database).

a b c (Å): 6.2840 6.2840 13.2617
angles (deg): 90.00 90.00 120.00
Space group P-31m (No. 162)
Inequivalent atoms, fractional coordinates:
La 0.3333 0.6667 0.0000 x2
Pr 0.0000 0.0000 0.0000 x1
Pr 0.0000 0.3736 0.2279 x6
Er 0.0000 0.0000 0.3929 x2
Er 0.3333 0.6667 0.5000 x2

Calculated values
Density of states at the Fermi level ... 1.3354 states/eV/atom
Formation energy from the elements ... 0.180 eV per atom
VASP energy ... -59.22 eV/cell

=====

Record 8
# La8Pr2Er

Crystalline La8Pr2Er at its relaxed geometry (GGA-PBE, the Alexandria database).

a b c (Å): 9.308 16.996 6.106
angles (deg): 90.00 123.82 90.00
Space group C2/m (No. 12)
Inequivalent atoms, fractional coordinates:
La 0.000 0.205 0.000 x4
La 0.081 0.500 0.799 x4
La 0.213 0.117 0.682 x8
Pr 0.000 0.309 0.500 x4
Er 0.000 0.000 0.000 x2

Calculated values
Density of states at the Fermi level ... 1.3782 states/eV/atom
Formation energy from the elements ... 0.119 eV per atom
VASP energy ... -104.46 eV/cell
Distance to the lowest polymorph of the same formula ... 21.9 meV/atom

=====

Record 9
# La3PrEr12

Crystalline La3PrEr12 at its relaxed geometry (GGA-PBE, the Alexandria database).

a b c (Å): 5.048 5.048 20.192
angles (deg): 90.00 90.00 90.00
Space group P4/mmm (No. 123)
Inequivalent atoms, fractional coordinates:
La 0.000 0.000 0.000 x1
La 0.000 0.000 0.250 x2
Pr 0.000 0.000 0.500 x1
Er 0.000 0.500 0.125 x4
Er 0.000 0.500 0.376 x4
Er 0.500 0.500 0.000 x1
Er 0.500 0.500 0.251 x2
Er 0.500 0.500 0.500 x1

Calculated values
Density of states at the Fermi level ... 1.6242 states/eV/atom
Formation energy from the elements ... 0.036 eV per atom
VASP energy ... -73.75 eV/cell

=====

Record 10
# La2Pr6Er

Crystalline La2Pr6Er at its relaxed geometry (GGA-PBE, the Alexandria database).

a b c (Å): 11.096 11.121 5.236
angles (deg): 90.00 90.00 90.00
Space group Pnnm (No. 58)
Inequivalent atoms, fractional coordinates:
La 0.164 0.164 0.000 x4
Pr 0.000 0.332 0.500 x4
Pr 0.167 0.833 0.000 x4
Pr 0.168 0.500 0.000 x4
Er 0.000 0.000 0.500 x2

Calculated values
Density of states at the Fermi level ... 1.7278 states/eV/atom
Formation energy from the elements ... 0.019 eV per atom
VASP energy ... -85.86 eV/cell

=====

Record 11
# LaPrEr2

Crystalline LaPrEr2 at its relaxed geometry (GGA-PBE, the Alexandria database).

a b c (Å): 3.6341 3.6341 35.1238
angles (deg): 90.00 90.00 120.00
Space group R3m (No. 160, hexagonal axes)
Inequivalent atoms, fractional coordinates:
La 0.0000 0.0000 0.0000 x3
Pr 0.0000 0.0000 0.1659 x3
Er 0.0000 0.0000 0.4164 x3
Er 0.0000 0.0000 0.5836 x3

Calculated values
Density of states at the Fermi level ... 1.5041 states/eV/atom
Formation energy from the elements ... 0.026 eV per atom
VASP energy ... -56.18 eV/cell
Distance to the lowest polymorph of the same formula ... 11.0 meV/atom

=====

Record 12
# La4PrEr5

Crystalline La4PrEr5 at its relaxed geometry (GGA-PBE, the Alexandria database).

a b c (Å): 10.625 12.469 5.244
angles (deg): 90.00 90.00 90.00
Space group Pmmn (No. 59, origin choice 2)
Inequivalent atoms, fractional coordinates:
La 0.072 0.250 0.248 x4
La 0.250 0.013 0.753 x4
Pr 0.250 0.750 0.752 x2
Er 0.067 0.598 0.252 x8
Er 0.250 0.250 0.746 x2

Calculated values
Density of states at the Fermi level ... 1.7059 states/eV/atom
Formation energy from the elements ... 0.245 eV per atom
VASP energy ... -89.71 eV/cell

=====

Record 13
# La2Pr3Er

Crystalline La2Pr3Er at its relaxed geometry (GGA-PBE, the Alexandria database).

a b c (Å): 17.461 7.048 7.157
angles (deg): 90.00 101.82 90.00
Space group C2/c (No. 15)
Inequivalent atoms, fractional coordinates:
La 0.172 0.014 0.091 x8
Pr 0.000 0.234 0.750 x4
Pr 0.141 0.489 0.566 x8
Er 0.000 0.241 0.250 x4

Calculated values
Density of states at the Fermi level ... 1.4043 states/eV/atom
Formation energy from the elements ... 0.120 eV per atom
VASP energy ... -112.14 eV/cell
Distance to the lowest polymorph of the same formula ... 66.8 meV/atom

=====

Record 14
# La3Pr4Er2

Crystalline La3Pr4Er2 at its relaxed geometry (GGA-PBE, the Alexandria database).

a b c (Å): 15.160 12.122 7.258
angles (deg): 90.00 99.40 90.00
Space group C2/c (No. 15)
Inequivalent atoms, fractional coordinates:
La 0.000 0.014 0.250 x4
La 0.103 0.366 0.684 x8
Pr 0.100 0.347 0.178 x8
Pr 0.189 0.134 0.511 x8
Er 0.193 0.134 0.001 x8

Calculated values
Density of states at the Fermi level ... 1.4488 states/eV/atom
Formation energy from the elements ... 0.226 eV per atom
VASP energy ... -163.97 eV/cell
Distance to the lowest polymorph of the same formula ... 129.5 meV/atom

=====

Record 15
# La6Pr5Er

Crystalline La6Pr5Er at its relaxed geometry (GGA-PBE, the Alexandria database).

a b c (Å): 6.411 7.426 9.827
angles (deg): 112.19 90.34 90.09
Space group P-1 (No. 2)
Inequivalent atoms, fractional coordinates:
La 0.000 0.247 0.000 x2
La 0.335 0.083 0.669 x2
La 0.335 0.586 0.669 x2
Pr 0.165 0.666 0.333 x2
Pr 0.168 0.166 0.332 x2
Pr 0.500 0.500 0.000 x1
Er 0.500 0.000 0.000 x1

Calculated values
Density of states at the Fermi level ... 1.7859 states/eV/atom
Formation energy from the elements ... 0.014 eV per atom
VASP energy ... -57.86 eV/cell
Distance to the lowest polymorph of the same formula ... 3.0 meV/atom

=====

Record 16
# La8Pr3Er

Crystalline La8Pr3Er at its relaxed geometry (GGA-PBE, the Alexandria database).

a b c (Å): 6.502 8.838 8.856
angles (deg): 78.82 68.50 68.56
Space group P1 (No. 1)
Inequivalent atoms, fractional coordinates:
La 0.000 0.000 0.000 x1
La 0.000 0.333 0.669 x1
La 0.419 0.254 0.243 x1
La 0.419 0.581 0.916 x1
La 0.496 0.498 0.502 x1
La 0.496 0.834 0.166 x1
La 0.914 0.758 0.748 x1
La 0.915 0.086 0.421 x1
Pr 0.423 0.922 0.584 x1
Pr 0.927 0.417 0.080 x1
Pr 0.996 0.667 0.334 x1
Er 0.499 0.167 0.834 x1

Calculated values
Density of states at the Fermi level ... 1.8791 states/eV/atom
Formation energy from the elements ... 0.034 eV per atom
VASP energy ... -57.92 eV/cell

=====

Record 17
# La2Pr5Er12

Crystalline La2Pr5Er12 at its relaxed geometry (GGA-PBE, the Alexandria database).

a b c (Å): 6.206 9.532 10.741
angles (deg): 78.91 84.40 89.96
Space group P-1 (No. 2)
Inequivalent atoms, fractional coordinates:
La 0.081 0.319 0.026 x2
Pr 0.238 0.947 0.080 x2
Pr 0.340 0.368 0.448 x2
Pr 0.500 0.000 0.500 x1
Er 0.025 0.105 0.344 x2
Er 0.132 0.526 0.709 x2
Er 0.183 0.737 0.396 x2
Er 0.288 0.158 0.761 x2
Er 0.396 0.579 0.133 x2
Er 0.444 0.788 0.814 x2

Calculated values
Density of states at the Fermi level ... 1.3830 states/eV/atom
Formation energy from the elements ... 0.026 eV per atom
VASP energy ... -88.01 eV/cell
Distance to the lowest polymorph of the same formula ... 0.0 meV/atom

=====

Record 18
# La15Pr2Er2

Crystalline La15Pr2Er2 at its relaxed geometry (GGA-PBE, the Alexandria database).

a b c (Å): 11.2558 11.2558 18.9010
angles (deg): 90.00 90.00 120.00
Space group R-3m (No. 166, hexagonal axes)
Inequivalent atoms, fractional coordinates:
La 0.0000 0.2950 0.0000 x18
La 0.0000 0.5000 0.5000 x9
La 0.0403 0.5201 0.1280 x18
Pr 0.0000 0.0000 0.2989 x6
Er 0.0000 0.0000 0.0882 x6

Calculated values
Density of states at the Fermi level ... 1.6785 states/eV/atom
Formation energy from the elements ... 0.205 eV per atom
VASP energy ... -266.10 eV/cell

=====

Record 19
# LaPr2Er7

Crystalline LaPr2Er7 at its relaxed geometry (GGA-PBE, the Alexandria database).

a b c (Å): 5.490 7.061 9.489
angles (deg): 111.77 106.80 90.02
Space group P-1 (No. 2)
Inequivalent atoms, fractional coordinates:
La 0.000 0.000 0.000 x1
Pr 0.198 0.699 0.398 x2
Er 0.000 0.500 0.000 x1
Er 0.202 0.201 0.402 x2
Er 0.392 0.144 0.784 x2
Er 0.392 0.640 0.785 x2

Calculated values
Density of states at the Fermi level ... 1.7496 states/eV/atom
Formation energy from the elements ... 0.055 eV per atom
VASP energy ... -45.88 eV/cell
Distance to the lowest polymorph of the same formula ... 0.0 meV/atom